## Ac3DyPb4 (GGA-PBE)

Data for an optimized crystal structure of Ac3DyPb4.

As for the formation energy: -0.45 eV/atom. Its symmetry is No. 123. Its distance to the lowest polymorph of the same formula is 0.000 eV/atom. The volume comes out at 272.82 Å³/f.u. The calculation puts the electronic total energy at -0.3250 Ry/atom. As for the magnetic moment: 0.0 μB per formula unit.

Cell lengths 4.1130, 4.1130, 16.1277 Å; angles 90.00, 90.00, 90.00 degrees
Fractional positions:
Pb 0.0000 0.0000 0.6353
Ac 0.5000 0.5000 0.7659
Dy 0.5000 0.5000 0.0000
Pb 0.0000 0.0000 0.3647
Pb 0.0000 0.0000 0.1004
Ac 0.5000 0.5000 0.5000
Pb 0.0000 0.0000 0.8996
Ac 0.5000 0.5000 0.2341